# 1
Density functional theory data (PBE) for a geometry-optimized Na5BiO4 structure.

Values from the calculation:
Theoretical density ... 3.78 g/cm³
Total magnetic moment ... 0.0 μB per cell
Formation energy (no corrections) ... -1.2924 eV/atom
D(E_F) ... 0.00 states/eV per cell

Unit cell a=7.360 b=8.346 c=5.551 alpha=90.00 beta=90.00 gamma=90.00
Sites, in units of the cell vectors:
Na1 0.009 0.061 0.248
Na2 0.009 0.439 0.248
Na3 0.250 0.750 0.295
Na4 0.491 0.061 0.248
Na5 0.491 0.439 0.248
Na6 0.509 0.561 0.752
Na7 0.509 0.939 0.752
Na8 0.750 0.250 0.705
Na9 0.991 0.561 0.752
Na10 0.991 0.939 0.752
Bi1 0.250 0.250 0.693
Bi2 0.750 0.750 0.307
O1 0.021 0.250 0.937
O2 0.250 0.505 0.519
O3 0.250 0.995 0.519
O4 0.479 0.250 0.937
O5 0.521 0.750 0.063
O6 0.750 0.005 0.481
O7 0.750 0.495 0.481
O8 0.979 0.750 0.063

# 2
Density functional theory data (PBE) for a geometry-optimized Cr2SiCl structure.

Values from the calculation:
Theoretical density ... 3.70 g/cm³
Total magnetic moment ... 7.0 μB per cell
Formation energy (no corrections) ... 0.3984 eV/atom
D(E_F) ... 1.94 states/eV per cell

Unit cell a=3.308 b=3.608 c=6.300 alpha=90.00 beta=90.00 gamma=90.00
Sites, in units of the cell vectors:
Cr1 0.000 0.000 0.000
Cr2 0.500 0.000 0.500
Si1 0.000 0.500 0.500
Cl1 0.500 0.500 0.000

# 3
Density functional theory data (PBE) for a geometry-optimized Tm6Sb3SeS2 structure.

Values from the calculation:
Theoretical density ... 8.49 g/cm³
Total magnetic moment ... 0.0 μB per cell
Formation energy (no corrections) ... -1.4210 eV/atom
D(E_F) ... 4.32 states/eV per cell

Unit cell a=7.137 b=7.137 c=7.148 alpha=99.61 beta=99.61 gamma=119.91
Sites, in units of the cell vectors:
Tm1 0.081 0.424 0.771
Tm2 0.232 0.232 0.224
Tm3 0.424 0.081 0.771
Tm4 0.576 0.919 0.229
Tm5 0.768 0.768 0.776
Tm6 0.919 0.576 0.229
Sb1 0.000 0.000 0.500
Sb2 0.337 0.663 0.500
Sb3 0.663 0.337 0.500
Se1 0.500 0.500 0.000
S1 0.168 0.832 0.000
S2 0.832 0.168 0.000

Question: What is the D(E_F) in the third record?
Answer: 4.32 states/eV per cell

Question: The highest formation energy (no corrections) belongs to which entry?
Answer: Cr2SiCl

Question: The highest total magnetic moment belongs to which entry?
Answer: Cr2SiCl

Question: Among the records above, which one has the highest D(E_F)?
Answer: Tm6Sb3SeS2